Entry 1:
# LaNpIn6

A relaxed LaNpIn6 crystal (GGA-PBE, the Alexandria database).

Lattice parameters (Å, degrees): 4.709 4.709 9.443 90.00 90.00 90.00
Last column: magnetic moment on the atom in μB.
Sites, in units of the cell vectors:
Np (0.000, 0.000, 0.500)  -3.96
In (0.500, 0.500, 0.500)  0.00
In (0.000, 0.500, 0.742)  0.00
In (0.500, 0.500, 0.000)  0.01
In (0.000, 0.500, 0.258)  0.00
In (0.500, 0.000, 0.258)  0.00
In (0.500, 0.000, 0.742)  0.00
La (0.000, 0.000, 0.000)  0.01

Output
space-group type	No. 123
E_form	-0.24	eV/atom

---

Entry 2:
# Cs2DyBiS4

A relaxed Cs2DyBiS4 crystal (GGA-PBE, the Alexandria database).

Lattice parameters (Å, degrees): 7.035 8.452 12.908 83.49 74.19 65.41
Sites, in units of the cell vectors:
S (0.471, 0.693, 0.394)
S (0.835, 0.693, 0.606)
S (0.135, 0.307, 0.394)
S (0.615, 0.193, 0.106)
S (0.279, 0.807, 0.106)
S (0.559, 0.307, 0.606)
S (0.915, 0.807, 0.894)
S (0.191, 0.193, 0.894)
Cs (0.818, 0.000, 0.364)
Cs (0.182, 0.000, 0.636)
Cs (0.568, 0.500, 0.864)
Cs (0.932, 0.500, 0.136)
Dy (0.000, 0.000, 0.000)
Dy (0.750, 0.500, 0.500)
Bi (0.250, 0.500, 0.500)
Bi (0.500, 0.000, 0.000)

Output
space-group type	No. 70
ΔE_f (raw)	-1120	meV/atom

---

N(E_F)? In order: 13.5; 0.0 states/eV/f.u..
Raw total energy? In order: -4.53; -4.46 eV per atom.